VASP calculation (PBE-GGA) on a relaxed structure of Ca3RhC.

a b c (Å): 4.8984 4.8984 4.8984
angles (deg): 90.00 90.00 90.00
Each line ends with the local moment (μB).
Fractional positions:
C (0.0000, 0.0000, 0.0000)  0.32
Ca (0.0000, 0.5000, 0.0000)  0.01
Ca (0.0000, 0.0000, 0.5000)  0.01
Ca (0.5000, 0.0000, 0.0000)  0.01
Rh (0.5000, 0.5000, 0.5000)  0.34

Values from the calculation:
Formation energy from the elements   0.25 eV/atom
Distance to the lowest polymorph of the same formula   0.000 kcal/mol of atoms
Spin magnetization   1.00 μB/f.u.
Space group   No. 221
Calculated density   3.32 g/cm³
Uncorrected energy   -4.269 eV per atom